[1]
# RbTlAs

RbTlAs after structural relaxation (PBE-GGA, Alexandria via LeMat-Bulk).

Computed properties:
The energy of formation is -0.59 eV/f.u. The offset from the most stable computed form is 0.103 eV per formula unit.

a = 6.7058 Å, b = 6.7677 Å, c = 9.5651 Å
α = 90.00°, β = 106.03°, γ = 90.00°
Space group P2_1/c (No. 14)
One atom of each set of equivalent atoms:
1 Rb 0.1592 0.0770 0.3714 [4 per cell]
2 Tl 0.4156 0.5453 0.2912 [4 per cell]
3 As 0.1720 0.5782 0.5171 [4 per cell]


[2]
# Ca2Ga2Ru

Ca2Ga2Ru after structural relaxation (PBE-GGA, Alexandria via LeMat-Bulk).

Computed properties:
The energy of formation is -1.89 eV/f.u. The offset from the most stable computed form is 0.000 eV per formula unit.

a = 4.0743 Å, b = 5.8211 Å, c = 9.3691 Å
α = 90.00°, β = 90.00°, γ = 90.00°
Space group Immm (No. 71)
One atom of each set of equivalent atoms:
1 Ca 0.0000 0.0000 0.2054 [4 per cell]
2 Ga 0.0000 0.2537 0.5000 [4 per cell]
3 Ru 0.0000 0.5000 0.0000 [2 per cell]


[3]
# Ta3Nb2Mo4

Ta3Nb2Mo4 after structural relaxation (PBE-GGA, Alexandria via LeMat-Bulk).

Computed properties:
The energy of formation is 0.53 eV/f.u.

a = 2.7573 Å, b = 7.0675 Å, c = 8.2865 Å
α = 100.99°, β = 92.07°, γ = 100.23°
Space group P-1 (No. 2)
One atom of each set of equivalent atoms:
1 Ta 0.0000 0.0000 0.0000 [1 per cell]
2 Ta 0.2396 0.0066 0.6678 [2 per cell]
3 Nb 0.4408 0.3421 0.2262 [2 per cell]
4 Mo 0.2170 0.6645 0.1042 [2 per cell]
5 Mo 0.2574 0.6671 0.4476 [2 per cell]


[4]
# Na2HSe

Na2HSe after structural relaxation (PBE-GGA, Alexandria via LeMat-Bulk).

Computed properties:
The offset from the most stable computed form is 1.790 eV per formula unit.

a = 6.8184 Å, b = 6.8184 Å, c = 6.8184 Å
α = 90.00°, β = 90.00°, γ = 90.00°
Space group Fm-3m (No. 225)
One atom of each set of equivalent atoms:
1 Na 0.2500 0.2500 0.2500 [8 per cell]
2 H 0.0000 0.0000 0.0000 [4 per cell]
3 Se 0.0000 0.0000 0.5000 [4 per cell]


[5]
# Pr6Dy2Ho5

Pr6Dy2Ho5 after structural relaxation (PBE-GGA, Alexandria via LeMat-Bulk).

Computed properties:
The energy of formation is 1.36 eV/f.u.

a = 11.7523 Å, b = 20.6972 Å, c = 3.6384 Å
α = 90.00°, β = 90.00°, γ = 90.00°
Space group Pbam (No. 55)
One atom of each set of equivalent atoms:
1 Pr 0.0600 0.0801 0.0000 [4 per cell]
2 Pr 0.0834 0.3671 0.0000 [4 per cell]
3 Pr 0.1734 0.6342 0.5000 [4 per cell]
4 Dy 0.1653 0.7894 0.0000 [4 per cell]
5 Ho 0.0000 0.5000 0.5000 [2 per cell]
6 Ho 0.0932 0.2264 0.5000 [4 per cell]
7 Ho 0.1984 0.9437 0.5000 [4 per cell]


[6]
# BaInSb2

BaInSb2 after structural relaxation (PBE-GGA, Alexandria via LeMat-Bulk).

Computed properties:
The uncorrected formation energy comes out at -0.45 eV/atom.

a = 10.8442 Å, b = 4.3202 Å, c = 6.0244 Å
α = 90.00°, β = 107.55°, γ = 90.00°
Space group Cm (No. 8)
One atom of each set of equivalent atoms:
1 Ba 0.0000 0.0000 0.0000 [2 per cell]
2 In 0.2662 0.5000 0.3101 [2 per cell]
3 Sb 0.2294 0.0000 0.6512 [2 per cell]
4 Sb 0.4992 0.0000 0.5082 [2 per cell]


[7]
# Zr2Ir2Rh

Zr2Ir2Rh after structural relaxation (PBE-GGA, Alexandria via LeMat-Bulk).

Computed properties:
The energy of formation is -0.90 eV/f.u. The offset from the most stable computed form is 2.191 eV per formula unit.

a = 4.9695 Å, b = 4.9695 Å, c = 8.2286 Å
α = 90.00°, β = 90.00°, γ = 90.00°
Space group I4/mmm (No. 139)
One atom of each set of equivalent atoms:
1 Zr 0.0000 0.5000 0.2500 [4 per cell]
2 Ir 0.0000 0.0000 0.1484 [4 per cell]
3 Rh 0.0000 0.0000 0.5000 [2 per cell]


Total magnetization, respectively: 0.00 0.00 0.00 0.25 0.00 0.00 0.00 μB per atom.